11
Lattice="6.2056 -2.2186 0.0000 6.2056 2.2186 0.0000 -2.0899 0.0000 6.8853" Properties=species:S:1:pos:R:3 comment="Li5OsS5, relaxed, DFT GGA-PBE" magmom_total_mub_per_cell=0.945 e_tot_ev_per_atom=-4.54 volume_a3_per_fu=189.6 pbc="T T T"
S 1.1119 0.0000 2.2021
Li 2.1870 0.0000 4.4267
Os 0.0000 0.0000 0.0000
S 6.2056 0.0000 0.0000
Li -1.0449 0.0000 3.4426
S 0.0429 0.0000 5.6682
Li 7.1136 0.0000 5.9093
S 9.2095 0.0000 4.6831
S 10.2785 0.0000 1.2171
Li 3.2078 0.0000 0.9760
Li 8.1344 0.0000 2.4586